Record 1
A relaxed GaCu3As crystal. Source: the Alexandria database, functional GGA-PBE.

It has space group Pm-3m (No. 221), with a = 4.571 Å, b = 4.571 Å, c = 4.571 Å, α = 90.00°, β = 90.00° and γ = 90.00°. The distinct sites, in fractional coordinates, are Ga at (0.000, 0.000, 0.000), Cu at (0.000, 0.500, 0.500) and As at (0.500, 0.500, 0.500).

As for the uncorrected energy: -3.628 eV/atom. The calculation puts the calculated volume at 95.5 Å³/f.u. The excess energy over the best structure of this formula in the dataset is 0.0 meV per atom. The calculation puts the calculated formation energy at 0.37 eV per atom.

=====

Record 2
A relaxed GaCuAs3 crystal. Source: the Alexandria database, functional GGA-PBE.

It has space group Pm-3m (No. 221), with a = 4.769 Å, b = 4.769 Å, c = 4.769 Å, α = 90.00°, β = 90.00° and γ = 90.00°. The distinct sites, in fractional coordinates, are Ga at (0.000, 0.000, 0.000), Cu at (0.500, 0.500, 0.500) and As at (0.000, 0.500, 0.500).

As for the uncorrected energy: -3.628 eV/atom. The calculation puts the calculated volume at 108.5 Å³/f.u. The excess energy over the best structure of this formula in the dataset is 0.0 meV per atom. The calculation puts the calculated formation energy at 0.59 eV per atom.

=====

Record 3
A relaxed GaCu2As2 crystal. Source: the Alexandria database, functional GGA-PBE.

It has space group P4/mbm (No. 127), with a = 7.785 Å, b = 7.785 Å, c = 2.738 Å, α = 90.00°, β = 90.00° and γ = 90.00°. The distinct sites, in fractional coordinates, are Ga at (0.000, 0.000, 0.000), Cu at (0.136, 0.364, 0.500) and As at (0.159, 0.659, 0.000).

As for the uncorrected energy: -3.967 eV/atom. The calculation puts the calculated volume at 83.0 Å³/f.u. The excess energy over the best structure of this formula in the dataset is 64.3 meV per atom. The calculation puts the calculated formation energy at 0.14 eV per atom.

=====

Record 4
A relaxed GaCu2As2 crystal. Source: the Alexandria database, functional GGA-PBE.

It has space group I4/mmm (No. 139), with a = 4.217 Å, b = 4.217 Å, c = 10.182 Å, α = 90.00°, β = 90.00° and γ = 90.00°. The distinct sites, in fractional coordinates, are Ga at (0.000, 0.000, 0.000), Cu at (0.000, 0.500, 0.250) and As at (0.000, 0.000, 0.378).

As for the uncorrected energy: -4.031 eV/atom. The calculation puts the calculated volume at 90.5 Å³/f.u. The excess energy over the best structure of this formula in the dataset is 0.0 meV per atom. The calculation puts the calculated formation energy at 0.07 eV per atom.

=====

Record 5
A relaxed GaCuAs3 crystal. Source: the Alexandria database, functional GGA-PBE.

It has space group Pm-3m (No. 221), with a = 4.883 Å, b = 4.883 Å, c = 4.883 Å, α = 90.00°, β = 90.00° and γ = 90.00°. The distinct sites, in fractional coordinates, are Ga at (0.000, 0.000, 0.000), Cu at (0.500, 0.500, 0.500) and As at (0.000, 0.000, 0.500).

As for the uncorrected energy: -3.244 eV/atom. The calculation puts the calculated volume at 116.4 Å³/f.u. The excess energy over the best structure of this formula in the dataset is 384.0 meV per atom. The calculation puts the calculated formation energy at 0.97 eV per atom.

=====

Record 6
A relaxed GaCuAs crystal. Source: the Alexandria database, functional GGA-PBE.

It has space group P3_221 (No. 154), with a = 5.4349 Å, b = 5.4349 Å, c = 6.0429 Å, α = 90.00°, β = 90.00° and γ = 120.00°. The distinct sites, in fractional coordinates, are Ga at (0.0000, 0.4896, 0.3333), Cu at (0.0000, 0.8105, 0.8333) and As at (0.0000, 0.3287, 0.8333).

As for the uncorrected energy: -3.901 eV/atom. The calculation puts the calculated volume at 51.5 Å³/f.u. The excess energy over the best structure of this formula in the dataset is 27.3 meV per atom. The calculation puts the calculated formation energy at 0.02 eV per atom.

=====

Record 7
A relaxed GaCuAs2O8 crystal. Source: the Alexandria database, functional GGA-PBE.

It has space group I-4m2 (No. 119), with a = 6.468 Å, b = 6.468 Å, c = 6.363 Å, α = 90.00°, β = 90.00° and γ = 90.00°. The distinct sites, in fractional coordinates, are Ga at (0.000, 0.000, 0.000), Cu at (0.000, 0.500, 0.750), As at (0.000, 0.000, 0.500), As at (0.000, 0.500, 0.250), O at (0.000, 0.191, 0.691) and O at (0.000, 0.303, 0.068).

As for the uncorrected energy: -5.545 eV/atom. The calculation puts the calculated volume at 133.1 Å³/f.u. As for the formation energy from raw total energies: -871 meV/atom.

=====

Record 8
A relaxed GaCuAsO6 crystal. Source: the Alexandria database, functional GGA-PBE.

It has space group P-31c (No. 163), with a = 5.0074 Å, b = 5.0074 Å, c = 8.4145 Å, α = 90.00°, β = 90.00° and γ = 120.00°. The distinct sites, in fractional coordinates, are Ga at (0.3333, 0.6667, 0.2500), Cu at (0.0000, 0.0000, 0.0000), As at (0.3333, 0.6667, 0.7500) and O at (0.0191, 0.3594, 0.6288).

As for the uncorrected energy: -5.493 eV/atom. The calculation puts the calculated volume at 91.4 Å³/f.u. As for the formation energy from raw total energies: -879 meV/atom.

=====

Record 9
A relaxed Ga2CuAsO6 crystal. Source: the Alexandria database, functional GGA-PBE.

It has space group C2/c (No. 15), with a = 9.196 Å, b = 11.785 Å, c = 5.457 Å, α = 90.00°, β = 117.40° and γ = 90.00°. The distinct sites, in fractional coordinates, are Ga at (0.135, 0.078, 0.173), Cu at (0.000, 0.403, 0.250), As at (0.000, 0.303, 0.750), O at (0.114, 0.396, 0.651), O at (0.116, 0.230, 0.047) and O at (0.126, 0.061, 0.504).

As for the uncorrected energy: -5.754 eV/atom. The calculation puts the calculated volume at 131.3 Å³/f.u. As for the formation energy from raw total energies: -1299 meV/atom.

=====

Record 10
A relaxed GaCuAs2P crystal. Source: the Alexandria database, functional GGA-PBE.

It has space group P4/mmm (No. 123), with a = 4.893 Å, b = 4.893 Å, c = 4.476 Å, α = 90.00°, β = 90.00° and γ = 90.00°. The distinct sites, in fractional coordinates, are Ga at (0.000, 0.000, 0.000), Cu at (0.000, 0.000, 0.500), As at (0.000, 0.500, 0.000) and P at (0.500, 0.500, 0.500).

As for the uncorrected energy: -3.419 eV/atom. The calculation puts the calculated volume at 107.2 Å³/f.u. The calculation puts the calculated formation energy at 0.95 eV per atom.

=====

Record 11
A relaxed Rb2GaCuAs crystal. Source: the Alexandria database, functional GGA-PBE.

It has space group P4/mmm (No. 123), with a = 6.822 Å, b = 6.822 Å, c = 4.429 Å, α = 90.00°, β = 90.00° and γ = 90.00°. The distinct sites, in fractional coordinates, are Rb at (0.000, 0.500, 0.000), Ga at (0.000, 0.000, 0.500), Cu at (0.500, 0.500, 0.500) and As at (0.500, 0.500, 0.000).

As for the uncorrected energy: -2.554 eV/atom. The calculation puts the calculated volume at 206.1 Å³/f.u. The calculation puts the calculated formation energy at 0.19 eV per atom.

=====

Record 12
A relaxed Ga2CuAsS2 crystal. Source: the Alexandria database, functional GGA-PBE.

It has space group Cmc2_1 (No. 36), with a = 11.666 Å, b = 6.716 Å, c = 6.431 Å, α = 90.00°, β = 90.00° and γ = 90.00°. The distinct sites, in fractional coordinates, are Ga at (0.159, 0.173, 0.000), Cu at (0.000, 0.309, 0.507), As at (0.000, 0.356, 0.141) and S at (0.170, 0.162, 0.623).

As for the uncorrected energy: -4.242 eV/atom. The calculation puts the calculated volume at 126.0 Å³/f.u. As for the formation energy from raw total energies: -399 meV/atom.